Below is an optimized crystal structure of CeSm2ThSb4, with properties calculated at the GGA-PBE level.

The value obtained for the uncorrected energy is -48.0 eV for the cell shown. The calculation puts the density of states at the Fermi level at 8.7 states/eV/f.u.

It has space group P2/m (No. 10), with a = 7.7700 Å, b = 4.4921 Å, c = 7.7744 Å, α = 90.00°, β = 109.47° and γ = 90.00°. The asymmetric unit holds Ce at (0.0000, 0.0000, 0.0000), Sm at (0.5000, 0.0000, 0.5000), Sm at (0.5000, 0.5000, 0.0000), Th at (0.0000, 0.5000, 0.5000), Sb at (0.2514, 0.5000, 0.2503) and Sb at (0.2519, 0.0000, 0.7510).


Below is an optimized crystal structure of Pr4CuSBr2, with properties calculated at the GGA-PBE level.

The value obtained for the uncorrected energy is -39.9 eV for the cell shown. The calculation puts the density of states at the Fermi level at 4.6 states/eV/f.u.

It has space group P2/m (No. 10), with a = 7.1822 Å, b = 4.0874 Å, c = 7.9831 Å, α = 90.00°, β = 107.79° and γ = 90.00°. The asymmetric unit holds Pr at (0.2272, 0.0000, 0.2076), Pr at (0.2651, 0.5000, 0.7928), Cu at (0.5000, 0.0000, 0.0000), S at (0.0000, 0.5000, 0.0000), Br at (0.0000, 0.0000, 0.5000) and Br at (0.5000, 0.5000, 0.5000).


Below is an optimized crystal structure of CrIn2GaPt, with properties calculated at the GGA-PBE level.

The calculation puts the energy of formation at 0.65 eV per atom. The calculation puts the density of states at the Fermi level at 7.0 states/eV/f.u.

It has space group P4/mmm (No. 123), with a = 5.1411 Å, b = 5.1411 Å, c = 4.7933 Å, α = 90.00°, β = 90.00° and γ = 90.00°. The asymmetric unit holds Cr at (0.0000, 0.0000, 0.0000), In at (0.0000, 0.5000, 0.5000), Ga at (0.5000, 0.5000, 0.0000) and Pt at (0.0000, 0.0000, 0.5000).


Below is an optimized crystal structure of AlFe3Re, with properties calculated at the GGA-PBE level.

The calculation puts the energy of formation at 1.42 eV per atom. As for the distance to the lowest polymorph of the same formula: 0.0000 eV/atom. The calculation puts the density of states at the Fermi level at 10.4 states/eV/f.u.

It has space group Pm-3m (No. 221), with a = 4.4777 Å, b = 4.4777 Å, c = 4.4777 Å, α = 90.00°, β = 90.00° and γ = 90.00°. The asymmetric unit holds Al at (0.0000, 0.0000, 0.0000), Fe at (0.0000, 0.5000, 0.5000) and Re at (0.5000, 0.5000, 0.5000).


Below is an optimized crystal structure of BaTeSN2, with properties calculated at the GGA-PBE level.

As for the distance to the lowest polymorph of the same formula: 0.7799 eV/atom. The calculation puts the density of states at the Fermi level at 3.2 states/eV/f.u.

It has space group P4/mmm (No. 123), with a = 4.6607 Å, b = 4.6607 Å, c = 5.0342 Å, α = 90.00°, β = 90.00° and γ = 90.00°. The asymmetric unit holds Ba at (0.0000, 0.0000, 0.0000), Te at (0.5000, 0.5000, 0.0000), S at (0.5000, 0.5000, 0.5000) and N at (0.0000, 0.5000, 0.5000).


Below is an optimized crystal structure of KTaRu2, with properties calculated at the GGA-PBE level.

The calculation puts the energy of formation at 0.67 eV per atom. As for the distance to the lowest polymorph of the same formula: 0.3168 eV/atom. The calculation puts the density of states at the Fermi level at 3.2 states/eV/f.u.

It has space group P4mm (No. 99), with a = 2.8129 Å, b = 2.8129 Å, c = 9.9228 Å, α = 90.00°, β = 90.00° and γ = 90.00°. The asymmetric unit holds K at (0.0000, 0.0000, 0.0000), Ta at (0.5000, 0.5000, 0.6557), Ru at (0.0000, 0.0000, 0.4526) and Ru at (0.5000, 0.5000, 0.2817).